# 1
Material: HfAu3
Method: DFT, PBE
State: relaxed

Values from the calculation:
Formation energy, eV per formula unit: -1.93
Space-group type: Pmmn, No. 59

Cell: 4.837 6.082 4.943 Å, 90.00 90.00 90.00°
Positions (direct):
Au: 0.000 0.500 0.157
Au: 0.500 0.248 0.335
Au: 0.500 0.752 0.335
Au: 0.000 0.252 0.665
Au: 0.000 0.748 0.665
Au: 0.500 0.000 0.843
Hf: 0.000 0.000 0.161
Hf: 0.500 0.500 0.839

# 2
Material: Hf3Au4
Method: DFT, PBE
State: relaxed

Values from the calculation:
Formation energy, eV per formula unit: -3.92
Space-group type: I4/mmm, No. 139

Cell: 11.066 11.066 11.066 Å, 161.76 161.76 25.91°
Positions (direct):
Au: 0.140 0.140 0.000
Au: 0.432 0.432 0.000
Au: 0.568 0.568 0.000
Au: 0.860 0.860 0.000
Hf: 0.000 0.000 0.000
Hf: 0.293 0.293 0.000
Hf: 0.707 0.707 0.000

Question: Number 1 is which compound?
Answer: HfAu3

Question: Which value of formation energy does entry 2 give?
Answer: -3.92 eV per formula unit